Entry 1:
IrPtNO after structural relaxation, computed with PBE.

## Properties
The density comes out at 14.91 Mg/m³. The calculation puts the total energy at -6.29 eV per atom.

Cell lengths 5.4823, 5.5048, 6.1603 Å; angles 90.00, 90.00, 90.00 degrees
Space group Cmme (No. 67)
Unique sites:
1 Ir 0.2500 0.0000 0.0000 x4
2 Pt 0.0000 0.2500 0.3426 x4
3 N 0.0000 0.2500 0.8608 x4
4 O 0.2500 0.0000 0.5000 x4



Entry 2:
NaSiTcW after structural relaxation, computed with PBE.

## Properties
The density comes out at 9.19 Mg/m³. The calculation puts the total energy at -7.09 eV per atom.

Cell lengths 6.2208, 6.2208, 6.2208 Å; angles 90.00, 90.00, 90.00 degrees
Space group F-43m (No. 216)
Unique sites:
1 Na 0.0000 0.0000 0.0000 x4
2 Si 0.2500 0.2500 0.7500 x4
3 Tc 0.2500 0.2500 0.2500 x4
4 W 0.0000 0.0000 0.5000 x4



Entry 3:
Nd2TcH6 after structural relaxation, computed with PBE.

## Properties
The density comes out at 6.63 Mg/m³. The calculation puts the total energy at -4.97 eV per atom.

Cell lengths 7.3279, 7.3279, 7.3279 Å; angles 90.00, 90.00, 90.00 degrees
Space group Fm-3m (No. 225)
Unique sites:
1 Nd 0.2500 0.2500 0.2500 x8
2 Tc 0.0000 0.0000 0.0000 x4
3 H 0.0000 0.0000 0.2447 x24



Entry 4:
Pr7GaI12 after structural relaxation, computed with PBE.

## Properties
The density comes out at 5.18 Mg/m³. The calculation puts the total energy at -4.03 eV per atom.

Cell lengths 16.2726, 16.2726, 10.8241 Å; angles 90.00, 90.00, 120.00 degrees
Space group R-3 (No. 148, hexagonal axes)
Unique sites:
1 Pr 0.0000 0.0000 0.0000 x3
2 Pr 0.0471 0.8817 0.3449 x18
3 Ga 0.0000 0.0000 0.5000 x3
4 I 0.0227 0.4348 0.1661 x18
5 I 0.0521 0.8669 0.8399 x18



Entry 5:
LaSmBr2O2 after structural relaxation, computed with PBE.

## Properties
The density comes out at 6.14 Mg/m³. The calculation puts the total energy at -6.74 eV per atom.

Cell lengths 3.9716, 3.9716, 8.2452 Å; angles 90.00, 90.00, 90.00 degrees
Space group P4mm (No. 99)
Unique sites:
1 La 0.0000 0.0000 0.0000 x1
2 Sm 0.5000 0.5000 0.2954 x1
3 Br 0.0000 0.0000 0.4898 x1
4 Br 0.5000 0.5000 0.8012 x1
5 O 0.0000 0.5000 0.1536 x2



Entry 6:
Ag9Pb2 after structural relaxation, computed with PBE.

## Properties
The density comes out at 8.46 Mg/m³. The calculation puts the total energy at -2.86 eV per atom.

Cell lengths 3.0605, 3.0605, 33.5326 Å; angles 90.00, 90.00, 120.00 degrees
Space group P-3m1 (No. 164)
Unique sites:
1 Ag 0.0000 0.0000 0.0000 x1
2 Ag 0.0000 0.0000 0.2030 x2
3 Ag 0.3333 0.6667 0.1351 x2
4 Ag 0.3333 0.6667 0.7287 x2
5 Ag 0.3333 0.6667 0.9325 x2
6 Pb 0.3333 0.6667 0.3494 x2



Entry 7:
ZrTlTe2AuSe after structural relaxation, computed with PBE.

## Properties
The density comes out at 7.79 Mg/m³. The calculation puts the total energy at -4.63 eV per atom.

Cell lengths 8.5408, 4.0945, 10.8050 Å; angles 90.00, 111.08, 90.00 degrees
Space group P2_1/m (No. 11)
Unique sites:
1 Zr 0.2156 0.2500 0.1766 x2
2 Tl 0.2371 0.7500 0.7180 x2
3 Te 0.0600 0.2500 0.8791 x2
4 Te 0.2191 0.2500 0.4427 x2
5 Au 0.4234 0.7500 0.3937 x2
6 Se 0.4119 0.7500 0.1492 x2



Entry 8:
TePdNO after structural relaxation, computed with PBE.

## Properties
The density comes out at 7.02 Mg/m³. The calculation puts the total energy at -4.97 eV per atom.

Cell lengths 4.3128, 4.3128, 6.7201 Å; angles 90.00, 90.00, 90.00 degrees
Space group P4/nmm (No. 129, origin choice 2)
Unique sites:
1 Te 0.2500 0.2500 0.1499 x2
2 Pd 0.2500 0.7500 0.5000 x2
3 N 0.2500 0.2500 0.4564 x2
4 O 0.2500 0.7500 0.0000 x2



Entry 9:
PmNd4In5 after structural relaxation, computed with PBE.

## Properties
The density comes out at 7.47 Mg/m³. The calculation puts the total energy at -4.25 eV per atom.

Cell lengths 3.8673, 3.8673, 19.2726 Å; angles 90.00, 90.00, 90.00 degrees
Space group P4/mmm (No. 123)
Unique sites:
1 Pm 0.0000 0.0000 0.0000 x1
2 Nd 0.0000 0.0000 0.1989 x2
3 Nd 0.0000 0.0000 0.3996 x2
4 In 0.5000 0.5000 0.0983 x2
5 In 0.5000 0.5000 0.2992 x2
6 In 0.5000 0.5000 0.5000 x1



Entry 10:
TbHf after structural relaxation, computed with PBE.

## Properties
The density comes out at 8.16 Mg/m³. The calculation puts the total energy at -4.88 eV per atom.

Cell lengths 6.4995, 6.4995, 6.4995 Å; angles 90.00, 90.00, 90.00 degrees
Space group F-43m (No. 216)
Unique sites:
1 Tb 0.0000 0.0000 0.0000 x4
2 Hf 0.2500 0.2500 0.2500 x4



Entry 11:
Dy2Er2TmLu2Ni2Te2 after structural relaxation, computed with PBE.

## Properties
The density comes out at 9.22 Mg/m³. The calculation puts the total energy at -5.14 eV per atom.

Cell lengths 3.8071, 15.4187, 9.5157 Å; angles 90.00, 90.00, 90.00 degrees
Space group Imm2 (No. 44)
Unique sites:
1 Dy 0.0000 0.1854 0.0000 x4
2 Er 0.0000 0.3665 0.2031 x4
3 Tm 0.0000 0.5000 0.6232 x2
4 Lu 0.0000 0.1454 0.3495 x4
5 Ni 0.0000 0.2647 0.6951 x4
6 Te 0.0000 0.0000 0.8562 x2
7 Te 0.0000 0.5000 0.9593 x2



Entry 12:
LiCuSbAu after structural relaxation, computed with PBE.

## Properties
The density comes out at 9.65 Mg/m³. The calculation puts the total energy at -3.46 eV per atom.

Cell lengths 6.4472, 6.4472, 6.4472 Å; angles 90.00, 90.00, 90.00 degrees
Space group F-43m (No. 216)
Unique sites:
1 Li 0.0000 0.0000 0.0000 x4
2 Cu 0.0000 0.0000 0.5000 x4
3 Sb 0.2500 0.2500 0.2500 x4
4 Au 0.2500 0.2500 0.7500 x4